(1)
! Li2Au | the Alexandria database | SCAN | single point on PBEsol structure; values from VASP
&SYSTEM
  ibrav = 0, nat = 3, ntyp = 2
/
ATOMIC_SPECIES
Li 6.94 Li.upf
Au 196.97 Au.upf
ATOMIC_POSITIONS angstrom
Li 0.000 2.275 0.000
Li 2.275 0.000 0.000
Au 0.000 0.000 1.373
CELL_PARAMETERS angstrom
4.549 0.000 0.000
0.000 4.549 0.000
0.000 0.000 2.746
! DOS(E_F) in states/eV/cell: 0.95
! Energy of formation in kJ/mol of atoms: -46.8
! Total magnetic moment in μB/cell: 0.00
! Space group: P4/mmm



(2)
! LiLuAu2 | the Alexandria database | SCAN | single point on PBEsol structure; values from VASP
&SYSTEM
  ibrav = 0, nat = 4, ntyp = 3
/
ATOMIC_SPECIES
Li 6.94 Li.upf
Lu 174.97 Lu.upf
Au 196.97 Au.upf
ATOMIC_POSITIONS angstrom
Li 0.000 0.000 0.000
Lu 3.319 3.319 3.319
Au 1.660 1.660 1.660
Au 4.979 4.979 4.979
CELL_PARAMETERS angstrom
0.000 3.319 3.319
3.319 0.000 3.319
3.319 3.319 0.000
! DOS(E_F) in states/eV/cell: 2.40
! Energy of formation in kJ/mol of atoms: -87.1
! Total magnetic moment in μB/cell: 0.00
! Space group: Fm-3m



(3)
! LiMgAu | the Alexandria database | SCAN | single point on PBEsol structure; values from VASP
&SYSTEM
  ibrav = 0, nat = 3, ntyp = 3
/
ATOMIC_SPECIES
Li 6.94 Li.upf
Mg 24.30 Mg.upf
Au 196.97 Au.upf
ATOMIC_POSITIONS angstrom
Li 0.000 0.000 0.000
Mg 0.000 0.000 2.757
Au 0.000 0.000 5.662
CELL_PARAMETERS angstrom
-1.679 1.679 4.379
1.679 -1.679 4.379
1.679 1.679 -4.379
! DOS(E_F) in states/eV/cell: 0.94
! Energy of formation in kJ/mol of atoms: -57.9
! Total magnetic moment in μB/cell: 0.00
! Space group: I4mm



(4)
! LiMgAu4 | the Alexandria database | SCAN | single point on PBEsol structure; values from VASP
&SYSTEM
  ibrav = 0, nat = 6, ntyp = 3
/
ATOMIC_SPECIES
Li 6.94 Li.upf
Mg 24.30 Mg.upf
Au 196.97 Au.upf
ATOMIC_POSITIONS angstrom
Li 0.000 0.000 0.000
Mg 5.745 5.745 5.745
Au 2.872 2.872 2.872
Au 4.788 4.788 2.872
Au 4.788 2.872 4.788
Au 2.872 4.788 4.788
CELL_PARAMETERS angstrom
0.000 3.830 3.830
3.830 0.000 3.830
3.830 3.830 0.000
! DOS(E_F) in states/eV/cell: 1.56
! Energy of formation in kJ/mol of atoms: -38.1
! Total magnetic moment in μB/cell: 0.00
! Space group: F-43m



(5)
! Li3MgAu | the Alexandria database | SCAN | single point on PBEsol structure; values from VASP
&SYSTEM
  ibrav = 0, nat = 5, ntyp = 3
/
ATOMIC_SPECIES
Li 6.94 Li.upf
Mg 24.30 Mg.upf
Au 196.97 Au.upf
ATOMIC_POSITIONS angstrom
Li 0.000 0.000 2.397
Li 0.000 2.397 0.000
Li 2.397 0.000 0.000
Mg 2.397 2.397 2.397
Au 0.000 0.000 0.000
CELL_PARAMETERS angstrom
4.793 0.000 0.000
0.000 4.793 0.000
0.000 0.000 4.793
! DOS(E_F) in states/eV/cell: 1.67
! Energy of formation in kJ/mol of atoms: -14.9
! Total magnetic moment in μB/cell: 0.00
! Space group: Pm-3m



(6)
! LiMgAu | the Alexandria database | SCAN | single point on PBEsol structure; values from VASP
&SYSTEM
  ibrav = 0, nat = 6, ntyp = 3
/
ATOMIC_SPECIES
Li 6.94 Li.upf
Mg 24.30 Mg.upf
Au 196.97 Au.upf
ATOMIC_POSITIONS angstrom
Li 0.000 0.000 0.000
Li 0.000 2.599 0.941
Mg 0.000 0.000 2.745
Mg 2.251 1.300 4.596
Au 0.000 2.599 3.778
Au 2.251 1.300 1.701
CELL_PARAMETERS angstrom
4.502 0.000 0.000
-2.251 3.899 0.000
0.000 0.000 5.644
! DOS(E_F) in states/eV/cell: 2.27
! Energy of formation in kJ/mol of atoms: -62.9
! Total magnetic moment in μB/cell: 0.00
! Space group: P3m1



(7)
! LiMn3Au | the Alexandria database | SCAN | single point on PBEsol structure; values from VASP
&SYSTEM
  ibrav = 0, nat = 5, ntyp = 3
/
ATOMIC_SPECIES
Li 6.94 Li.upf
Mn 54.94 Mn.upf
Au 196.97 Au.upf
ATOMIC_POSITIONS angstrom
Li 0.000 0.000 0.000
Mn 0.000 2.466 2.466
Mn 2.466 0.000 2.466
Mn 2.466 2.466 0.000
Au 2.466 2.466 2.466
CELL_PARAMETERS angstrom
4.932 0.000 0.000
0.000 4.932 0.000
0.000 0.000 4.932
! DOS(E_F) in states/eV/cell: 2.87
! Energy of formation in kJ/mol of atoms: 29.5
! Total magnetic moment in μB/cell: 13.94
! Space group: Pm-3m



(8)
! LiMnAu2 | the Alexandria database | SCAN | single point on PBEsol structure; values from VASP
&SYSTEM
  ibrav = 0, nat = 4, ntyp = 3
/
ATOMIC_SPECIES
Li 6.94 Li.upf
Mn 54.94 Mn.upf
Au 196.97 Au.upf
ATOMIC_POSITIONS angstrom
Li 0.000 0.000 0.000
Mn 1.690 1.690 1.577
Au 0.000 0.000 2.720
Au 1.690 1.690 4.384
CELL_PARAMETERS angstrom
3.380 0.000 0.000
0.000 3.380 0.000
0.000 0.000 5.478
! DOS(E_F) in states/eV/cell: 1.47
! Energy of formation in kJ/mol of atoms: -40.3
! Total magnetic moment in μB/cell: 4.40
! Space group: P4mm



(9)
! LiMn2Au | the Alexandria database | SCAN | single point on PBEsol structure; values from VASP
&SYSTEM
  ibrav = 0, nat = 4, ntyp = 3
/
ATOMIC_SPECIES
Li 6.94 Li.upf
Mn 54.94 Mn.upf
Au 196.97 Au.upf
ATOMIC_POSITIONS angstrom
Li 0.000 0.000 0.000
Mn 1.545 1.545 1.545
Mn 4.636 4.636 4.636
Au 3.091 3.091 3.091
CELL_PARAMETERS angstrom
0.000 3.091 3.091
3.091 0.000 3.091
3.091 3.091 0.000
! DOS(E_F) in states/eV/cell: 2.57
! Energy of formation in kJ/mol of atoms: -34.2
! Total magnetic moment in μB/cell: 8.36
! Space group: Fm-3m



(10)
! LiMnAu2 | the Alexandria database | SCAN | single point on PBEsol structure; values from VASP
&SYSTEM
  ibrav = 0, nat = 4, ntyp = 3
/
ATOMIC_SPECIES
Li 6.94 Li.upf
Mn 54.94 Mn.upf
Au 196.97 Au.upf
ATOMIC_POSITIONS angstrom
Li 0.000 0.000 0.000
Mn 0.000 2.297 2.781
Au 1.405 0.000 2.338
Au 1.405 2.297 0.424
CELL_PARAMETERS angstrom
2.810 0.000 0.000
0.000 4.594 0.000
0.000 0.000 4.672
! DOS(E_F) in states/eV/cell: 1.59
! Energy of formation in kJ/mol of atoms: -52.9
! Total magnetic moment in μB/cell: 4.21
! Space group: Pmm2



(11)
! LiMnAu2 | the Alexandria database | SCAN | single point on PBEsol structure; values from VASP
&SYSTEM
  ibrav = 0, nat = 4, ntyp = 3
/
ATOMIC_SPECIES
Li 6.94 Li.upf
Mn 54.94 Mn.upf
Au 196.97 Au.upf
ATOMIC_POSITIONS angstrom
Li 0.000 0.000 0.000
Mn 1.736 0.000 3.147
Au 4.296 0.000 2.325
Au 6.882 0.000 0.823
CELL_PARAMETERS angstrom
4.706 -1.405 0.000
4.706 1.405 0.000
-0.740 0.000 4.617
! DOS(E_F) in states/eV/cell: 1.72
! Energy of formation in kJ/mol of atoms: -47.2
! Total magnetic moment in μB/cell: 4.20
! Space group: Cm



(12)
! LiMnAu2 | the Alexandria database | SCAN | single point on PBEsol structure; values from VASP
&SYSTEM
  ibrav = 0, nat = 4, ntyp = 3
/
ATOMIC_SPECIES
Li 6.94 Li.upf
Mn 54.94 Mn.upf
Au 196.97 Au.upf
ATOMIC_POSITIONS angstrom
Li 0.000 0.000 0.000
Mn 0.000 0.000 3.056
Au 1.554 1.584 1.487
Au 1.554 1.584 4.626
CELL_PARAMETERS angstrom
3.109 0.000 0.000
0.000 3.168 0.000
0.000 0.000 6.113
! DOS(E_F) in states/eV/cell: 1.24
! Energy of formation in kJ/mol of atoms: -53.2
! Total magnetic moment in μB/cell: 4.44
! Space group: Pmmm



(13)
! LiMnAu2 | the Alexandria database | SCAN | single point on PBEsol structure; values from VASP
&SYSTEM
  ibrav = 0, nat = 4, ntyp = 3
/
ATOMIC_SPECIES
Li 6.94 Li.upf
Mn 54.94 Mn.upf
Au 196.97 Au.upf
ATOMIC_POSITIONS angstrom
Li 0.000 0.000 0.000
Mn 0.000 1.913 2.069
Au 1.913 0.000 2.069
Au 0.000 0.000 4.139
CELL_PARAMETERS angstrom
-1.913 1.913 4.139
1.913 -1.913 4.139
1.913 1.913 -4.139
! DOS(E_F) in states/eV/cell: 1.03
! Energy of formation in kJ/mol of atoms: -52.7
! Total magnetic moment in μB/cell: 4.29
! Space group: I-4m2



(14)
! LiMn2Au | the Alexandria database | SCAN | single point on PBEsol structure; values from VASP
&SYSTEM
  ibrav = 0, nat = 4, ntyp = 3
/
ATOMIC_SPECIES
Li 6.94 Li.upf
Mn 54.94 Mn.upf
Au 196.97 Au.upf
ATOMIC_POSITIONS angstrom
Li 0.000 0.000 0.000
Mn 0.000 0.000 6.812
Mn 0.000 0.000 20.468
Au 0.000 0.000 13.640
CELL_PARAMETERS angstrom
1.393 0.804 9.093
-1.393 0.804 9.093
0.000 -1.609 9.093
! DOS(E_F) in states/eV/cell: 1.70
! Energy of formation in kJ/mol of atoms: -1.3
! Total magnetic moment in μB/cell: 8.09
! Space group: R-3m



(15)
! LiMnPAu2 | the Alexandria database | SCAN | single point on PBEsol structure; values from VASP
&SYSTEM
  ibrav = 0, nat = 5, ntyp = 4
/
ATOMIC_SPECIES
Li 6.94 Li.upf
Mn 54.94 Mn.upf
P 30.97 P.upf
Au 196.97 Au.upf
ATOMIC_POSITIONS angstrom
Li 0.000 0.000 0.000
Mn 0.000 0.000 2.221
P 2.146 2.146 2.221
Au 0.000 2.146 0.000
Au 2.146 0.000 0.000
CELL_PARAMETERS angstrom
4.292 0.000 0.000
0.000 4.292 0.000
0.000 0.000 4.442
! DOS(E_F) in states/eV/cell: 2.13
! Energy of formation in kJ/mol of atoms: 52.8
! Total magnetic moment in μB/cell: 4.47
! Space group: P4/mmm



(16)
! LiMn2RhAu | the Alexandria database | SCAN | single point on PBEsol structure; values from VASP
&SYSTEM
  ibrav = 0, nat = 5, ntyp = 4
/
ATOMIC_SPECIES
Li 6.94 Li.upf
Mn 54.94 Mn.upf
Rh 102.91 Rh.upf
Au 196.97 Au.upf
ATOMIC_POSITIONS angstrom
Li 0.000 0.000 0.000
Mn 0.000 2.091 0.000
Mn 2.091 0.000 0.000
Rh 2.091 2.091 2.063
Au 0.000 0.000 2.063
CELL_PARAMETERS angstrom
4.183 0.000 0.000
0.000 4.183 0.000
0.000 0.000 4.127
! DOS(E_F) in states/eV/cell: 2.18
! Energy of formation in kJ/mol of atoms: 43.2
! Total magnetic moment in μB/cell: 8.87
! Space group: P4/mmm



(17)
! LiMo3Au | the Alexandria database | SCAN | single point on PBEsol structure; values from VASP
&SYSTEM
  ibrav = 0, nat = 5, ntyp = 3
/
ATOMIC_SPECIES
Li 6.94 Li.upf
Mo 95.94 Mo.upf
Au 196.97 Au.upf
ATOMIC_POSITIONS angstrom
Li 0.000 0.000 0.000
Mo 0.000 2.414 2.414
Mo 2.414 0.000 2.414
Mo 2.414 2.414 0.000
Au 2.414 2.414 2.414
CELL_PARAMETERS angstrom
4.829 0.000 0.000
0.000 4.829 0.000
0.000 0.000 4.829
! DOS(E_F) in states/eV/cell: 6.80
! Energy of formation in kJ/mol of atoms: 215.7
! Total magnetic moment in μB/cell: 0.00
! Space group: Pm-3m



(18)
! LiMo4Au | the Alexandria database | SCAN | single point on PBEsol structure; values from VASP
&SYSTEM
  ibrav = 0, nat = 6, ntyp = 3
/
ATOMIC_SPECIES
Li 6.94 Li.upf
Mo 95.94 Mo.upf
Au 196.97 Au.upf
ATOMIC_POSITIONS angstrom
Li 0.000 0.000 0.000
Mo 4.579 2.725 2.725
Mo 2.725 4.579 2.725
Mo 2.725 2.725 4.579
Mo 4.579 4.579 4.579
Au 1.826 1.826 1.826
CELL_PARAMETERS angstrom
0.000 3.652 3.652
3.652 0.000 3.652
3.652 3.652 0.000
! DOS(E_F) in states/eV/cell: 4.37
! Energy of formation in kJ/mol of atoms: 45.3
! Total magnetic moment in μB/cell: 0.00
! Space group: F-43m



(19)
! LiMo2Au | the Alexandria database | SCAN | single point on PBEsol structure; values from VASP
&SYSTEM
  ibrav = 0, nat = 4, ntyp = 3
/
ATOMIC_SPECIES
Li 6.94 Li.upf
Mo 95.94 Mo.upf
Au 196.97 Au.upf
ATOMIC_POSITIONS angstrom
Li 0.000 0.000 0.000
Mo 1.713 1.713 1.109
Mo 1.713 1.713 3.994
Au 0.000 0.000 2.552
CELL_PARAMETERS angstrom
3.426 0.000 0.000
0.000 3.426 0.000
0.000 0.000 5.103
! DOS(E_F) in states/eV/cell: 2.08
! Energy of formation in kJ/mol of atoms: 31.6
! Total magnetic moment in μB/cell: 0.00
! Space group: P4/mmm



(20)
! Li3MoAu | the Alexandria database | SCAN | single point on PBEsol structure; values from VASP
&SYSTEM
  ibrav = 0, nat = 5, ntyp = 3
/
ATOMIC_SPECIES
Li 6.94 Li.upf
Mo 95.94 Mo.upf
Au 196.97 Au.upf
ATOMIC_POSITIONS angstrom
Li 0.000 0.000 2.339
Li 0.000 2.339 0.000
Li 2.339 0.000 0.000
Mo 2.339 2.339 2.339
Au 0.000 0.000 0.000
CELL_PARAMETERS angstrom
4.677 0.000 0.000
0.000 4.677 0.000
0.000 0.000 4.677
! DOS(E_F) in states/eV/cell: 2.05
! Energy of formation in kJ/mol of atoms: 55.7
! Total magnetic moment in μB/cell: 4.69
! Space group: Pm-3m